This record from the Alexandria database describes a relaxed AcNdCoPt crystal. The functional is PBE-GGA.

The structure in CIF format:
```
data_AcNdCoPt
_chemical_formula_sum 'Ac4 Nd4 Co4 Pt4'
_cell_length_a 7.259
_cell_length_b 7.259
_cell_length_c 7.259
_cell_angle_alpha 90.00
_cell_angle_beta 90.00
_cell_angle_gamma 90.00
_symmetry_space_group_name_H-M 'F -4 3 m'
_symmetry_Int_Tables_number 216
_symmetry_space_group_name_Hall 'F -4 2 3'
loop_
_atom_site_label
_atom_site_fract_x
_atom_site_fract_y
_atom_site_fract_z
Ac1 0.000 0.000 0.000
Nd1 0.000 0.000 0.500
Co1 0.250 0.250 0.250
Pt1 0.250 0.250 0.750
```

calculated formation energy = -0.41 eV per atom


This record from the Alexandria database describes a relaxed SrZnSb2Te crystal. The functional is PBE-GGA.

The structure in CIF format:
```
data_SrZnSb2Te
_chemical_formula_sum 'Sr1 Zn1 Sb2 Te1'
_cell_length_a 5.242
_cell_length_b 5.242
_cell_length_c 5.729
_cell_angle_alpha 90.00
_cell_angle_beta 90.00
_cell_angle_gamma 90.00
_symmetry_space_group_name_H-M 'P 4/m m m'
_symmetry_Int_Tables_number 123
_symmetry_space_group_name_Hall '-P 4 2'
loop_
_atom_site_label
_atom_site_fract_x
_atom_site_fract_y
_atom_site_fract_z
Sr1 0.000 0.000 0.000
Zn1 0.500 0.500 0.500
Sb1 0.000 0.500 0.500
Te1 0.500 0.500 0.000
```

formation energy from raw total energies = -164 meV per atom
energy relative to the lowest polymorph listed for this composition = 0 meV/atom


This record from the Alexandria database describes a relaxed CsP6 crystal. The functional is PBE-GGA.

The structure in CIF format:
```
data_CsP6
_chemical_formula_sum 'Cs2 P12'
_cell_length_a 6.861
_cell_length_b 6.861
_cell_length_c 6.861
_cell_angle_alpha 90.00
_cell_angle_beta 90.00
_cell_angle_gamma 90.00
_symmetry_space_group_name_H-M 'I m -3 m'
_symmetry_Int_Tables_number 229
_symmetry_space_group_name_Hall '-I 4 2 3'
loop_
_atom_site_label
_atom_site_fract_x
_atom_site_fract_y
_atom_site_fract_z
Cs1 0.000 0.000 0.000
P1 0.000 0.250 0.500
```

calculated formation energy = 0.27 eV per atom


This record from the Alexandria database describes a relaxed YSiTe2 crystal. The functional is PBE-GGA.

The structure in CIF format:
```
data_YSiTe2
_chemical_formula_sum 'Y2 Si2 Te4'
_cell_length_a 7.255
_cell_length_b 7.311
_cell_length_c 3.856
_cell_angle_alpha 90.00
_cell_angle_beta 90.00
_cell_angle_gamma 90.00
_symmetry_space_group_name_H-M 'C m m m'
_symmetry_Int_Tables_number 65
_symmetry_space_group_name_Hall '-C 2 2'
loop_
_atom_site_label
_atom_site_fract_x
_atom_site_fract_y
_atom_site_fract_z
Y1 0.000 0.000 0.000
Si1 0.000 0.500 0.000
Te1 0.250 0.250 0.500
```

formation energy from raw total energies = -360 meV per atom


This record from the Alexandria database describes a relaxed DySbH crystal. The functional is PBE-GGA.

The structure in CIF format:
```
data_DySbH
_chemical_formula_sum 'Dy2 Sb2 H2'
_cell_length_a 4.487
_cell_length_b 4.434
_cell_length_c 6.384
_cell_angle_alpha 90.00
_cell_angle_beta 93.05
_cell_angle_gamma 90.00
_symmetry_space_group_name_H-M 'P 1 m 1'
_symmetry_Int_Tables_number 6
loop_
_symmetry_equiv_pos_as_xyz
'x,y,z'
'x,-y,z'
loop_
_atom_site_label
_atom_site_fract_x
_atom_site_fract_y
_atom_site_fract_z
Dy1 0.000 0.000 0.000
Dy2 0.439 0.500 0.478
Sb1 0.514 0.500 0.967
Sb2 0.946 0.000 0.513
H1 0.006 0.500 0.296
H2 0.126 0.500 0.200
```

energy relative to the lowest polymorph listed for this composition = 173 meV/atom


This record from the Alexandria database describes a relaxed Zr2AgPd crystal. The functional is PBE-GGA.

The structure in CIF format:
```
data_Zr2AgPd
_chemical_formula_sum 'Zr4 Ag2 Pd2'
_cell_length_a 5.565
_cell_length_b 4.259
_cell_length_c 7.457
_cell_angle_alpha 90.00
_cell_angle_beta 90.00
_cell_angle_gamma 90.00
_symmetry_space_group_name_H-M 'P m m a'
_symmetry_Int_Tables_number 51
loop_
_symmetry_equiv_pos_as_xyz
'x,y,z'
'-x,-y,-z'
'-x+1/2,-y,z'
'x+1/2,y,-z'
'x+1/2,-y,-z'
'-x+1/2,y,z'
'-x,y,-z'
'x,-y,z'
loop_
_atom_site_label
_atom_site_fract_x
_atom_site_fract_y
_atom_site_fract_z
Zr1 0.250 0.000 0.149
Zr2 0.250 0.500 0.690
Ag1 0.000 0.000 0.500
Pd1 0.000 0.500 0.000
```

calculated formation energy = 0.03 eV per atom
energy relative to the lowest polymorph listed for this composition = 302 meV/atom


Number 1: total energy -5.91 eV per atom. Number 2: total energy -3.03 eV per atom. Number 3: total energy -4.49 eV per atom. Number 4: total energy -4.90 eV per atom. Number 5: total energy -4.59 eV per atom. Number 6: total energy -6.26 eV per atom.